1.
DFT (PBE) results for a relaxed structure of RbCa2FeGe.

## Properties
Fermi-level density of states   1.939 states/eV per atom
Formation enthalpy at 0 K   0.994 eV per atom
Volume   207.2 Å³ per cell

abc: 6.0256 6.0256 5.7071
angles: 90.00 90.00 90.00
Sites, in units of the cell vectors:
Rb (0.0000, 0.0000, 0.0000)
Ca (0.0000, 0.5000, 0.5000)
Ca (0.5000, 0.0000, 0.5000)
Fe (0.0000, 0.0000, 0.5000)
Ge (0.5000, 0.5000, 0.0000)

---

2.
DFT (PBE) results for a relaxed structure of Ca2ScFeGe.

## Properties
Fermi-level density of states   0.765 states/eV per atom
Formation enthalpy at 0 K   0.350 eV per atom
Volume   136.3 Å³ per cell

abc: 5.5425 5.5425 4.4366
angles: 90.00 90.00 90.00
Sites, in units of the cell vectors:
Ca (0.0000, 0.5000, 0.0000)
Ca (0.5000, 0.0000, 0.0000)
Sc (0.0000, 0.0000, 0.5000)
Fe (0.5000, 0.5000, 0.5000)
Ge (0.5000, 0.5000, 0.0000)

---

3.
DFT (PBE) results for a relaxed structure of CaZn2FeGe.

## Properties
Fermi-level density of states   0.443 states/eV per atom
Formation enthalpy at 0 K   -0.144 eV per atom
Volume   97.2 Å³ per cell

abc: 4.6702 4.6702 4.4547
angles: 90.00 90.00 90.00
Sites, in units of the cell vectors:
Ca (0.0000, 0.0000, 0.0000)
Zn (0.0000, 0.5000, 0.5000)
Zn (0.5000, 0.0000, 0.5000)
Fe (0.5000, 0.5000, 0.5000)
Ge (0.5000, 0.5000, 0.0000)

---

4.
DFT (PBE) results for a relaxed structure of CaFeH3.

## Properties
E   -4.318 eV per atom
Fermi-level density of states   0.075 states/eV per atom
Volume   188.6 Å³ per cell

abc: 6.2597 6.2597 4.8712
angles: 96.00 96.00 86.72
Sites, in units of the cell vectors:
Ca (0.0627, 0.3214, 0.2504)
Ca (0.3214, 0.0627, 0.7504)
Ca (0.6786, 0.9373, 0.2496)
Ca (0.9373, 0.6786, 0.7496)
Fe (0.2660, 0.7340, 0.2500)
Fe (0.4382, 0.5618, 0.7500)
Fe (0.5618, 0.4382, 0.2500)
Fe (0.7340, 0.2660, 0.7500)
H (0.0025, 0.7239, 0.2166)
H (0.2235, 0.6500, 0.5475)
H (0.2761, 0.9975, 0.2834)
H (0.3181, 0.4898, 0.0491)
H (0.3500, 0.7765, 0.9525)
H (0.4898, 0.3181, 0.5491)
H (0.5102, 0.6819, 0.4509)
H (0.6500, 0.2235, 0.0475)
H (0.6819, 0.5102, 0.9509)
H (0.7239, 0.0025, 0.7166)
H (0.7765, 0.3500, 0.4525)
H (0.9975, 0.2761, 0.7834)

---

5.
DFT (PBE) results for a relaxed structure of CaFeH3.

## Properties
E   -4.207 eV per atom
Fermi-level density of states   0.171 states/eV per atom
Volume   97.0 Å³ per cell

abc: 6.1221 6.1221 5.7900
angles: 108.19 108.19 28.18
Sites, in units of the cell vectors:
Ca (0.1012, 0.1012, 0.3180)
Ca (0.8988, 0.8988, 0.6820)
Fe (0.3338, 0.3338, 0.1600)
Fe (0.6662, 0.6662, 0.8400)
H (0.0924, 0.0924, 0.7112)
H (0.1863, 0.1863, 0.0156)
H (0.3027, 0.3027, 0.4170)
H (0.6973, 0.6973, 0.5830)
H (0.8137, 0.8137, 0.9844)
H (0.9076, 0.9076, 0.2888)

---

6.
DFT (PBE) results for a relaxed structure of Ca2FeH4.

## Properties
E   -4.051 eV per atom
Fermi-level density of states   0.332 states/eV per atom
Volume   85.6 Å³ per cell

abc: 7.5987 7.5987 7.5987
angles: 153.77 153.77 37.44
Sites, in units of the cell vectors:
Ca (0.1237, 0.1237, 0.0000)
Ca (0.8763, 0.8763, 0.0000)
Fe (0.5000, 0.5000, 0.0000)
H (0.0000, 0.5000, 0.5000)
H (0.3854, 0.3854, 0.0000)
H (0.5000, 0.0000, 0.5000)
H (0.6146, 0.6146, 0.0000)